A crystal of AlIrS2N relaxed with PBEsol, computed with SCAN.

abc: 3.475 4.577 4.577
angles: 90.00 90.00 90.00
Positions (direct):
Ir1 0.500 0.500 0.500
Al1 0.000 0.000 0.000
S1 0.000 0.000 0.500
S2 0.000 0.500 0.000
N1 0.500 0.000 0.000

Values from the calculation:
calculated density: 6.78 Mg/m³
final energy: -20.74 eV per atom
ΔE_f (raw): 0.7378 eV/atom

***

A crystal of Ta2RuAu relaxed with PBEsol, computed with SCAN.

abc: 4.009 4.007 4.882
angles: 114.23 114.24 90.00
Positions (direct):
Ru1 0.000 0.500 0.000
Ta1 0.250 0.250 0.500
Ta2 0.750 0.750 0.500
Au1 0.500 0.000 0.000

Values from the calculation:
calculated density: 17.16 Mg/m³
energy relative to the elements: -1.2 eV/f.u.
final energy: -59.59 eV per atom
energy relative to the lowest polymorph listed for this composition: 0.0 meV/atom

***

A crystal of YFe13 relaxed with PBEsol, computed with SCAN.

abc: 7.934 7.934 7.934
angles: 60.00 60.00 60.00
Positions (direct):
Fe1 0.702 0.063 0.937
Fe2 0.937 0.063 0.298
Fe3 0.437 0.202 0.798
Fe4 0.202 0.798 0.437
Fe5 0.937 0.702 0.063
Fe6 0.063 0.937 0.702
Fe7 0.563 0.437 0.798
Fe8 0.798 0.202 0.563
Fe9 0.437 0.563 0.202
Fe10 0.563 0.202 0.437
Fe11 0.063 0.298 0.937
Fe12 0.063 0.702 0.298
Fe13 0.798 0.437 0.202
Fe14 0.202 0.563 0.798
Fe15 0.298 0.937 0.063
Fe16 0.298 0.063 0.702
Fe17 0.437 0.798 0.563
Fe18 0.202 0.437 0.563
Fe19 0.298 0.702 0.937
Fe20 0.702 0.937 0.298
Fe21 0.937 0.298 0.702
Fe22 0.500 0.500 0.500
Fe23 0.000 0.000 0.000
Fe24 0.563 0.798 0.202
Fe25 0.702 0.298 0.063
Fe26 0.798 0.563 0.437
Y1 0.250 0.250 0.250
Y2 0.750 0.750 0.750

Values from the calculation:
calculated density: 7.66 Mg/m³
energy relative to the elements: 0.2 eV/f.u.
final energy: -18.81 eV per atom

***

A crystal of KCoP2H5O9 relaxed with PBEsol, computed with SCAN.

abc: 6.493 7.702 15.276
angles: 90.00 90.01 90.00
Positions (direct):
H1 0.286 0.853 0.898
H2 0.129 0.140 0.769
H3 0.371 0.140 0.269
H4 0.214 0.853 0.398
H5 0.286 0.646 0.898
H6 0.000 0.499 0.500
H7 0.500 0.999 0.000
H8 0.871 0.640 0.231
H9 0.786 0.353 0.602
H10 0.000 0.999 0.500
H11 0.129 0.358 0.769
H12 0.714 0.353 0.102
H13 0.871 0.858 0.231
H14 0.214 0.645 0.398
H15 0.500 0.499 0.000
H16 0.371 0.358 0.269
H17 0.714 0.146 0.102
H18 0.786 0.145 0.602
H19 0.629 0.640 0.731
H20 0.629 0.858 0.731
K1 0.885 0.749 0.036
K2 0.115 0.249 0.964
K3 0.615 0.749 0.536
K4 0.385 0.249 0.464
O1 0.577 0.053 0.768
O2 0.547 0.975 0.076
O3 0.277 0.749 0.113
O4 0.548 0.523 0.076
O5 0.953 0.523 0.576
O6 0.723 0.249 0.887
O7 0.777 0.249 0.387
O8 0.708 0.749 0.716
O9 0.423 0.553 0.232
O10 0.792 0.749 0.216
O11 0.047 0.475 0.424
O12 0.679 0.559 0.387
O13 0.423 0.946 0.232
O14 0.306 0.749 0.395
O15 0.577 0.446 0.768
O16 0.923 0.053 0.268
O17 0.047 0.023 0.424
O18 0.077 0.946 0.732
O19 0.694 0.249 0.605
O20 0.208 0.249 0.784
O21 0.179 0.059 0.113
O22 0.679 0.939 0.387
O23 0.452 0.023 0.924
O24 0.321 0.439 0.613
O25 0.821 0.559 0.887
O26 0.180 0.439 0.113
O27 0.806 0.249 0.105
O28 0.820 0.939 0.887
O29 0.223 0.749 0.613
O30 0.077 0.553 0.732
O31 0.194 0.749 0.895
O32 0.453 0.475 0.924
O33 0.923 0.446 0.268
O34 0.321 0.059 0.613
O35 0.292 0.249 0.284
O36 0.953 0.975 0.576
Co1 0.049 0.249 0.194
Co2 0.951 0.749 0.806
Co3 0.549 0.749 0.307
Co4 0.451 0.249 0.693
P1 0.859 0.056 0.363
P2 0.641 0.056 0.863
P3 0.641 0.442 0.863
P4 0.359 0.942 0.137
P5 0.859 0.442 0.363
P6 0.141 0.942 0.637
P7 0.141 0.556 0.637
P8 0.359 0.556 0.137

Values from the calculation:
calculated density: 2.69 Mg/m³
final energy: -8.45 eV per atom

***

A crystal of BeAsS3 relaxed with PBEsol, computed with SCAN.

abc: 4.264 4.264 4.264
angles: 90.00 90.00 90.00
Positions (direct):
S1 0.000 0.500 0.000
S2 0.000 0.000 0.500
S3 0.500 0.000 0.000
As1 0.500 0.500 0.500
Be1 0.000 0.000 0.000

Values from the calculation:
calculated density: 3.86 Mg/m³
final energy: -10.28 eV per atom
ΔE_f (raw): 0.4093 eV/atom

***

A crystal of NiHg2P relaxed with PBEsol, computed with SCAN.

abc: 3.978 4.112 4.112
angles: 86.96 90.00 90.00
Positions (direct):
P1 0.500 0.500 0.500
Hg1 0.000 0.000 0.500
Hg2 0.000 0.500 0.000
Ni1 0.500 0.000 0.000

Values from the calculation:
calculated density: 12.14 Mg/m³
energy relative to the elements: 2.4 eV/f.u.
final energy: -40.14 eV per atom

***

A crystal of ZnRu2Au relaxed with PBEsol, computed with SCAN.

abc: 2.666 2.666 9.088
angles: 90.00 90.00 116.59
Positions (direct):
Zn1 0.500 0.500 0.500
Ru1 0.000 0.000 0.736
Ru2 0.000 0.000 0.264
Au1 0.500 0.500 0.000

Values from the calculation:
calculated density: 13.36 Mg/m³
energy relative to the elements: 1.4 eV/f.u.
final energy: -37.74 eV per atom

***

A crystal of NaCa9ScZn9Si20O60 relaxed with PBEsol, computed with SCAN.

abc: 6.645 6.645 25.480
angles: 85.66 85.66 84.52
Positions (direct):
O1 0.654 0.255 0.685
O2 0.029 0.167 0.551
O3 0.768 0.830 0.850
O4 0.167 0.229 0.451
O5 0.833 0.971 0.449
O6 0.255 0.853 0.585
O7 0.377 0.297 0.779
O8 0.967 0.029 0.651
O9 0.776 0.697 0.379
O10 0.697 0.976 0.279
O11 0.848 0.450 0.986
O12 0.134 0.746 0.913
O13 0.653 0.254 0.185
O14 0.771 0.833 0.549
O15 0.254 0.866 0.087
O16 0.570 0.634 0.749
O17 0.831 0.967 0.750
O18 0.173 0.107 0.979
O19 0.053 0.656 0.285
O20 0.170 0.232 0.150
O21 0.224 0.503 0.521
O22 0.497 0.776 0.479
O23 0.550 0.152 0.014
O24 0.033 0.169 0.250
O25 0.455 0.053 0.385
O26 0.628 0.900 0.121
O27 0.024 0.303 0.721
O28 0.746 0.347 0.815
O29 0.576 0.497 0.579
O30 0.056 0.652 0.785
O31 0.236 0.363 0.051
O32 0.503 0.424 0.421
O33 0.348 0.944 0.215
O34 0.703 0.623 0.221
O35 0.893 0.827 0.021
O36 0.637 0.764 0.949
O37 0.366 0.430 0.251
O38 0.819 0.106 0.921
O39 0.297 0.576 0.679
O40 0.424 0.703 0.321
O41 0.229 0.367 0.351
O42 0.971 0.033 0.349
O43 0.947 0.546 0.116
O44 0.147 0.745 0.415
O45 0.344 0.947 0.715
O46 0.454 0.053 0.884
O47 0.375 0.433 0.948
O48 0.567 0.625 0.052
O49 0.104 0.025 0.821
O50 0.432 0.572 0.849
O51 0.745 0.346 0.315
O52 0.633 0.771 0.649
O53 0.100 0.372 0.879
O54 0.303 0.224 0.621
O55 0.975 0.896 0.179
O56 0.545 0.147 0.515
O57 0.853 0.455 0.485
O58 0.428 0.568 0.151
O59 0.947 0.545 0.615
O60 0.894 0.181 0.079
Na1 0.247 0.753 0.000
Ca1 0.049 0.549 0.201
Ca2 0.649 0.151 0.600
Ca3 0.451 0.951 0.799
Ca4 0.352 0.049 0.300
Ca5 0.151 0.849 0.500
Ca6 0.539 0.246 0.103
Ca7 0.849 0.351 0.400
Ca8 0.754 0.461 0.897
Ca9 0.951 0.648 0.700
Si1 0.746 0.666 0.004
Si2 0.933 0.847 0.396
Si3 0.867 0.153 0.704
Si4 0.334 0.254 0.996
Si5 0.956 0.866 0.803
Si6 0.049 0.333 0.097
Si7 0.266 0.553 0.304
Si8 0.134 0.044 0.197
Si9 0.552 0.467 0.204
Si10 0.246 0.535 0.896
Si11 0.153 0.067 0.604
Si12 0.465 0.754 0.104
Si13 0.734 0.647 0.596
Si14 0.847 0.133 0.296
Si15 0.647 0.934 0.496
Si16 0.066 0.353 0.504
Si17 0.353 0.266 0.404
Si18 0.667 0.951 0.903
Si19 0.533 0.448 0.796
Si20 0.447 0.734 0.696
Zn1 0.344 0.257 0.700
Zn2 0.058 0.343 0.800
Zn3 0.456 0.744 0.400
Zn4 0.657 0.942 0.200
Zn5 0.153 0.047 0.900
Zn6 0.544 0.456 0.500
Zn7 0.256 0.544 0.600
Zn8 0.743 0.656 0.300
Zn9 0.953 0.847 0.100
Sc1 0.860 0.140 0.000

Values from the calculation:
calculated density: 3.78 Mg/m³
final energy: -10.93 eV per atom
ΔE_f (raw): -2.9155 eV/atom